(1)
Entry from the Alexandria database: a relaxed structure of Sb3Au (GGA-PBE).

Results
Crystal system ... hexagonal
E_form (uncorrected) ... 0.06 eV/atom
Polymorph energy (0 for the lowest one) ... 0.079 eV/atom

Structure (POSCAR):
```
Sb3Au
1.0
5.550 0.000 0.000
0.000 6.759 0.000
0.000 -3.379 5.853
Sb Au
6 2
Direct
0.974 0.274 0.274 Sb
0.474 0.274 0.000 Sb
0.474 0.726 0.726 Sb
0.974 0.726 0.000 Sb
0.474 0.000 0.274 Sb
0.974 0.000 0.726 Sb
0.224 0.667 0.333 Au
0.724 0.333 0.667 Au
```

(2)
Entry from the Alexandria database: a relaxed structure of SbAu3 (GGA-PBE).

Results
Crystal system ... trigonal
E_form (uncorrected) ... 0.10 eV/atom

Structure (POSCAR):
```
SbAu3
1.0
-3.281 -4.478 0.748
5.311 -0.454 1.721
-2.417 5.019 0.585
Au Sb
3 1
Direct
0.500 0.500 0.000 Au
0.500 0.000 0.500 Au
0.000 0.000 0.000 Au
0.000 0.500 0.500 Sb
```

(3)
Entry from the Alexandria database: a relaxed structure of Sb4Au (GGA-PBE).

Results
Crystal system ... cubic
E_form (uncorrected) ... 0.59 eV/atom
Polymorph energy (0 for the lowest one) ... 0.573 eV/atom

Structure (POSCAR):
```
Sb4Au
1.0
5.387 0.000 0.000
0.000 5.387 0.000
0.000 0.000 5.387
Sb Au
4 1
Direct
0.500 0.000 0.500 Sb
0.000 0.500 0.500 Sb
0.000 0.000 0.000 Sb
0.500 0.500 0.000 Sb
0.500 0.500 0.500 Au
```

(4)
Entry from the Alexandria database: a relaxed structure of Sb2Au3 (GGA-PBE).

Results
Crystal system ... trigonal
E_form (uncorrected) ... 0.01 eV/atom

Structure (POSCAR):
```
Sb2Au3
1.0
-3.119 -2.309 -1.196
3.700 -1.629 0.391
-1.644 -1.848 7.851
Sb Au
2 3
Direct
0.333 0.667 0.795 Sb
0.667 0.333 0.205 Sb
0.000 0.000 0.000 Au
0.333 0.667 0.399 Au
0.667 0.333 0.601 Au
```

(5)
Entry from the Alexandria database: a relaxed structure of Sb4Au (GGA-PBE).

Results
Crystal system ... monoclinic
E_form (uncorrected) ... 0.02 eV/atom
Polymorph energy (0 for the lowest one) ... 0.000 eV/atom

Structure (POSCAR):
```
Sb4Au
1.0
6.072 0.000 0.000
0.000 6.012 -1.019
0.000 -0.158 8.119
Sb Au
8 2
Direct
0.670 0.364 0.063 Sb
0.811 0.797 0.251 Sb
0.189 0.203 0.749 Sb
0.689 0.797 0.751 Sb
0.330 0.636 0.937 Sb
0.170 0.636 0.437 Sb
0.830 0.364 0.563 Sb
0.311 0.203 0.249 Sb
0.500 0.000 0.500 Au
0.000 0.000 0.000 Au
```

(6)
Entry from the Alexandria database: a relaxed structure of SbAu3 (GGA-PBE).

Results
Crystal system ... orthorhombic
E_form (uncorrected) ... 0.04 eV/atom

Structure (POSCAR):
```
SbAu3
1.0
-1.005 3.749 4.607
-0.167 -5.743 1.812
4.686 0.148 0.901
Au Sb
6 2
Direct
0.185 0.815 0.750 Au
0.815 0.185 0.250 Au
0.700 0.869 0.750 Au
0.300 0.131 0.250 Au
0.869 0.700 0.250 Au
0.131 0.300 0.750 Au
0.356 0.644 0.250 Sb
0.644 0.356 0.750 Sb
```

(7)
Entry from the Alexandria database: a relaxed structure of Sb3Au (GGA-PBE).

Results
Crystal system ... orthorhombic
E_form (uncorrected) ... 0.09 eV/atom
Polymorph energy (0 for the lowest one) ... 0.102 eV/atom

Structure (POSCAR):
```
Sb3Au
1.0
6.564 0.000 0.000
0.000 6.648 0.000
0.000 0.000 9.719
Au Sb
4 12
Direct
0.036 0.577 0.250 Au
0.536 0.923 0.750 Au
0.464 0.077 0.250 Au
0.964 0.423 0.750 Au
0.862 0.763 0.578 Sb
0.373 0.534 0.750 Sb
0.862 0.763 0.922 Sb
0.362 0.737 0.078 Sb
0.138 0.237 0.078 Sb
0.627 0.466 0.250 Sb
0.638 0.263 0.578 Sb
0.127 0.034 0.750 Sb
0.638 0.263 0.922 Sb
0.362 0.737 0.422 Sb
0.873 0.966 0.250 Sb
0.138 0.237 0.422 Sb
```

(8)
Entry from the Alexandria database: a relaxed structure of SbAu3 (GGA-PBE).

Results
Crystal system ... tetragonal
E_form (uncorrected) ... 0.10 eV/atom

Structure (POSCAR):
```
SbAu3
1.0
-0.994 1.262 2.649
-1.605 -2.575 0.626
6.703 -3.196 4.037
Sb Au
1 3
Direct
0.500 0.500 0.250 Sb
0.500 0.500 0.750 Au
0.000 0.000 0.518 Au
0.000 0.000 0.982 Au
```

(9)
Entry from the Alexandria database: a relaxed structure of Sb3Au (GGA-PBE).

Results
Crystal system ... cubic
E_form (uncorrected) ... 0.28 eV/atom
Polymorph energy (0 for the lowest one) ... 0.293 eV/atom

Structure (POSCAR):
```
Sb3Au
1.0
4.655 0.000 0.000
0.000 4.655 0.000
0.000 0.000 4.655
Sb Au
3 1
Direct
0.500 0.000 0.500 Sb
0.500 0.500 0.000 Sb
0.000 0.500 0.500 Sb
0.000 0.000 0.000 Au
```

(10)
Entry from the Alexandria database: a relaxed structure of SbAu3 (GGA-PBE).

Results
Crystal system ... orthorhombic
E_form (uncorrected) ... 0.02 eV/atom

Structure (POSCAR):
```
SbAu3
1.0
7.776 0.000 0.000
0.000 6.233 0.000
0.000 0.000 7.031
Au Sb
12 4
Direct
0.103 0.191 0.040 Au
0.603 0.309 0.540 Au
0.206 0.890 0.750 Au
0.897 0.809 0.960 Au
0.603 0.309 0.960 Au
0.794 0.110 0.250 Au
0.397 0.691 0.040 Au
0.897 0.809 0.540 Au
0.706 0.610 0.250 Au
0.294 0.390 0.750 Au
0.397 0.691 0.460 Au
0.103 0.191 0.460 Au
0.415 0.086 0.250 Sb
0.915 0.414 0.750 Sb
0.585 0.914 0.750 Sb
0.085 0.586 0.250 Sb
```

(11)
Entry from the Alexandria database: a relaxed structure of Sb5Au4 (GGA-PBE).

Results
Crystal system ... tetragonal
E_form (uncorrected) ... 0.16 eV/atom
Polymorph energy (0 for the lowest one) ... 0.043 eV/atom

Structure (POSCAR):
```
Sb5Au4
1.0
-4.409 4.409 2.800
4.409 -4.409 2.800
4.409 4.409 -2.800
Au Sb
4 5
Direct
0.000 0.339 0.339 Au
0.339 0.000 0.339 Au
0.661 0.000 0.661 Au
0.000 0.661 0.661 Au
0.313 0.313 0.627 Sb
0.687 0.313 0.000 Sb
0.687 0.687 0.373 Sb
0.313 0.687 0.000 Sb
0.000 0.000 0.000 Sb
```

(12)
Entry from the Alexandria database: a relaxed structure of Sb2Au3 (GGA-PBE).

Results
Crystal system ... monoclinic
E_form (uncorrected) ... -0.01 eV/atom

Structure (POSCAR):
```
Sb2Au3
1.0
-2.777 5.910 -1.500
-4.998 2.501 4.145
2.315 5.714 3.263
Au Sb
6 4
Direct
0.567 0.984 0.276 Au
0.827 0.516 0.224 Au
0.173 0.484 0.776 Au
0.433 0.016 0.724 Au
0.056 0.750 0.250 Au
0.944 0.250 0.750 Au
0.434 0.404 0.343 Sb
0.181 0.096 0.157 Sb
0.819 0.904 0.843 Sb
0.566 0.596 0.657 Sb
```

(13)
Entry from the Alexandria database: a relaxed structure of SbAu3 (GGA-PBE).

Results
Crystal system ... cubic
E_form (uncorrected) ... 0.13 eV/atom

Structure (POSCAR):
```
SbAu3
1.0
-1.282 1.458 -5.114
-2.968 -4.561 -0.557
-4.413 2.644 1.861
Sb Au
2 6
Direct
0.000 0.000 0.000 Sb
0.500 0.500 0.500 Sb
0.500 0.000 0.750 Au
0.000 0.750 0.500 Au
0.250 0.500 0.000 Au
0.750 0.500 0.000 Au
0.500 0.000 0.250 Au
0.000 0.250 0.500 Au
```

(14)
Entry from the Alexandria database: a relaxed structure of SbAu3 (GGA-PBE).

Results
Crystal system ... hexagonal
E_form (uncorrected) ... 0.13 eV/atom

Structure (POSCAR):
```
SbAu3
1.0
-0.741 1.686 2.580
-2.099 -0.296 -2.357
-3.453 -7.707 4.045
Au Sb
3 1
Direct
0.667 0.333 0.250 Au
0.000 0.000 0.488 Au
0.000 0.000 0.012 Au
0.667 0.333 0.750 Sb
```

(15)
Entry from the Alexandria database: a relaxed structure of SbAu3 (GGA-PBE).

Results
Crystal system ... orthorhombic
E_form (uncorrected) ... 0.06 eV/atom

Structure (POSCAR):
```
SbAu3
1.0
-2.192 0.624 4.191
-3.173 -2.345 -2.681
1.364 -3.208 1.191
Au Sb
3 1
Direct
0.500 0.500 0.000 Au
0.000 0.500 0.500 Au
0.500 0.000 0.500 Au
0.000 0.000 0.000 Sb
```

(16)
Entry from the Alexandria database: a relaxed structure of Sc2Sb2Au (GGA-PBE).

Results
Crystal system ... tetragonal
E_form (uncorrected) ... -0.56 eV/atom
Polymorph energy (0 for the lowest one) ... 0.020 eV/atom

Structure (POSCAR):
```
Sc2Sb2Au
1.0
-2.874 -1.598 -6.948
1.530 -7.455 1.082
-3.560 -0.500 1.587
Au Sb Sc
2 4 4
Direct
0.500 0.500 0.000 Au
0.000 0.000 0.000 Au
0.344 0.844 0.000 Sb
0.156 0.344 0.000 Sb
0.656 0.156 0.000 Sb
0.844 0.656 0.000 Sb
0.151 0.651 0.500 Sc
0.849 0.349 0.500 Sc
0.651 0.849 0.500 Sc
0.349 0.151 0.500 Sc
```

(17)
Entry from the Alexandria database: a relaxed structure of ScSb2Au (GGA-PBE).

Results
Crystal system ... monoclinic
E_form (uncorrected) ... -0.48 eV/atom

Structure (POSCAR):
```
ScSb2Au
1.0
-1.151 4.298 3.766
1.098 1.559 5.509
3.538 2.335 -0.895
Sc Au Sb
1 1 2
Direct
0.464 0.464 0.611 Sc
0.277 0.277 0.146 Au
0.019 0.019 0.095 Sb
0.740 0.740 0.648 Sb
```

(18)
Entry from the Alexandria database: a relaxed structure of ScSb2Au (GGA-PBE).

Results
Crystal system ... tetragonal
E_form (uncorrected) ... -0.45 eV/atom

Structure (POSCAR):
```
ScSb2Au
1.0
-2.735 2.896 0.170
-2.674 -2.607 1.394
1.664 1.247 5.526
Au Sb Sc
1 2 1
Direct
0.500 0.500 0.790 Au
0.000 0.000 0.947 Sb
0.500 0.500 0.306 Sb
0.000 0.000 0.457 Sc
```

(19)
Entry from the Alexandria database: a relaxed structure of ScSbAu4 (GGA-PBE).

Results
Crystal system ... cubic
E_form (uncorrected) ... -0.25 eV/atom

Structure (POSCAR):
```
ScSbAu4
1.0
0.000 3.954 3.954
3.954 0.000 3.954
3.954 3.954 0.000
Au Sc Sb
4 1 1
Direct
0.375 0.876 0.375 Au
0.375 0.375 0.876 Au
0.876 0.375 0.375 Au
0.375 0.375 0.375 Au
0.000 0.000 0.000 Sc
0.750 0.750 0.750 Sb
```

(20)
Entry from the Alexandria database: a relaxed structure of Sc3SbAu (GGA-PBE).

Results
Crystal system ... cubic
E_form (uncorrected) ... -0.26 eV/atom
Polymorph energy (0 for the lowest one) ... 0.000 eV/atom

Structure (POSCAR):
```
Sc3SbAu
1.0
-3.514 -3.140 2.062
3.604 -2.021 3.064
-1.060 3.537 3.581
Sc Au Sb
3 1 1
Direct
0.000 0.500 0.000 Sc
0.500 0.000 0.000 Sc
0.000 0.000 0.500 Sc
0.000 0.000 0.000 Au
0.500 0.500 0.500 Sb
```

The records above yield volume values of 27.44; 20.22; 31.26; 23.52; 29.54; 20.22; 26.51; 20.28; 25.22; 21.30; 24.19; 24.77; 20.46; 20.37; 20.28; 23.22; 23.32; 23.46; 20.61; 27.22 Å³ per atom, respectively.